Entry 1:
## PuHPd2 (GGA-PBE)

Data for a geometry-optimized PuHPd2 structure.

Cell: 2.8594 2.8594 25.4620 Å, 90.00 90.00 120.00°
Space group R-3m (No. 166, hexagonal axes)
One atom of each set of equivalent atoms:
Pu 0.0000 0.0000 0.0000 [3 per cell]
H 0.0000 0.0000 0.5000 [3 per cell]
Pd 0.0000 0.0000 0.4335 [6 per cell]

M_tot (μB/atom): 1.1309
VASP energy (eV/atom): -6.914


Entry 2:
## Pu3H8Pd2 (GGA-PBE)

Data for a geometry-optimized Pu3H8Pd2 structure.

Cell: 5.0528 5.0528 19.4745 Å, 90.00 90.00 120.00°
Space group R-3m (No. 166, hexagonal axes)
One atom of each set of equivalent atoms:
Pu 0.0000 0.0000 0.0000 [3 per cell]
Pu 0.0000 0.0000 0.2090 [6 per cell]
H 0.0000 0.0000 0.3292 [6 per cell]
H 0.0619 0.5309 0.7727 [18 per cell]
Pd 0.0000 0.0000 0.4166 [6 per cell]

M_tot (μB/atom): 1.2326
VASP energy (eV/atom): -6.438


Entry 3:
## Pu2HPd (GGA-PBE)

Data for a geometry-optimized Pu2HPd structure.

Cell: 3.107 3.107 7.340 Å, 90.00 90.00 90.00°
Space group P4/mmm (No. 123)
One atom of each set of equivalent atoms:
Pu 0.000 0.000 0.213 [2 per cell]
H 0.500 0.500 0.000 [1 per cell]
Pd 0.500 0.500 0.500 [1 per cell]

M_tot (μB/atom): 3.0098
E above lowest polymorph (eV/atom): 0.000